# AlCuRu3 (PBE, relaxed)
# DFT formation energy	1322	meV per atom
# total DFT energy (no corrections)	-5.81	eV/atom
# Fermi-level density of states	0.893	states/eV/atom
data_AlCuRu3
_cell_length_a 4.411
_cell_length_b 4.411
_cell_length_c 4.411
_cell_angle_alpha 90.00
_cell_angle_beta 90.00
_cell_angle_gamma 90.00
_space_group_name_H-M_alt 'P m -3 m'
_space_group_IT_number 221
_space_group_name_Hall '-P 4 2 3'
loop_
_atom_site_label
_atom_site_type_symbol
_atom_site_fract_x
_atom_site_fract_y
_atom_site_fract_z
Al1 Al 0.000 0.000 0.000
Cu1 Cu 0.500 0.500 0.500
Ru1 Ru 0.000 0.000 0.500